Record 1
First-principles (GGA-PBE) data for a geometry-optimized Y4ZnIr2 structure, as listed in Alexandria via LeMat-Bulk.

Calculated values
Space-group type = R-3m
D(E_F) = 6.29 states/eV per cell
Formation enthalpy at 0 K = -0.639 eV per atom
Mass density = 8.16 g cm⁻³
Total energy = -0.2590 Ha/atom

abc: 8.400 8.400 8.400
angles: 33.87 33.87 33.87
Fractional positions:
1 Y 0.121 0.121 0.121
2 Y 0.372 0.372 0.372
3 Y 0.628 0.628 0.628
4 Y 0.879 0.879 0.879
5 Zn 0.500 0.500 0.500
6 Ir 0.248 0.248 0.248
7 Ir 0.752 0.752 0.752



Record 2
First-principles (GGA-PBE) data for a geometry-optimized Pm6Sm2Ho3Tl structure, as listed in Alexandria via LeMat-Bulk.

Calculated values
Space-group type = C2/m
D(E_F) = 13.31 states/eV per cell
Formation enthalpy at 0 K = -0.023 eV per atom
Mass density = 8.01 g cm⁻³
Total energy = -0.1663 Ha/atom

abc: 6.197 6.197 11.843
angles: 95.02 95.02 120.11
Fractional positions:
1 Pm 0.083 0.411 0.751
2 Pm 0.243 0.243 0.248
3 Pm 0.411 0.083 0.751
4 Pm 0.589 0.917 0.249
5 Pm 0.757 0.757 0.752
6 Pm 0.917 0.589 0.249
7 Sm 0.334 0.666 0.500
8 Sm 0.666 0.334 0.500
9 Ho 0.167 0.833 0.000
10 Ho 0.500 0.500 0.000
11 Ho 0.833 0.167 0.000
12 Tl 0.000 0.000 0.500



Record 3
First-principles (GGA-PBE) data for a geometry-optimized ZnCdBi2 structure, as listed in Alexandria via LeMat-Bulk.

Calculated values
Polymorph energy (0 for the lowest one) = 0.264 eV/f.u.
Space-group type = Fm-3m
D(E_F) = 3.30 states/eV per cell
Formation enthalpy at 0 K = 0.191 eV per atom
Mass density = 9.42 g cm⁻³
Total energy = -0.0844 Ha/atom

abc: 5.296 5.296 5.296
angles: 60.00 60.00 60.00
Fractional positions:
1 Zn 0.000 0.000 0.000
2 Cd 0.500 0.500 0.500
3 Bi 0.250 0.250 0.250
4 Bi 0.750 0.750 0.750



Record 4
First-principles (GGA-PBE) data for a geometry-optimized Pm4SmHg4 structure, as listed in Alexandria via LeMat-Bulk.

Calculated values
Space-group type = P4_2/n
D(E_F) = 13.77 states/eV per cell
Formation enthalpy at 0 K = -0.265 eV per atom
Mass density = 9.61 g cm⁻³
Total energy = -0.1115 Ha/atom

abc: 9.631 9.631 5.713
angles: 90.00 90.00 90.00
Fractional positions:
1 Pm 0.094 0.838 0.148
2 Pm 0.162 0.594 0.648
3 Pm 0.338 0.906 0.648
4 Pm 0.406 0.662 0.148
5 Pm 0.594 0.338 0.852
6 Pm 0.662 0.094 0.352
7 Pm 0.838 0.406 0.352
8 Pm 0.906 0.162 0.852
9 Sm 0.250 0.250 0.750
10 Sm 0.750 0.750 0.250
11 Hg 0.048 0.147 0.354
12 Hg 0.147 0.452 0.146
13 Hg 0.353 0.048 0.146
14 Hg 0.452 0.353 0.354
15 Hg 0.548 0.647 0.646
16 Hg 0.647 0.952 0.854
17 Hg 0.853 0.548 0.854
18 Hg 0.952 0.853 0.646



Record 5
First-principles (GGA-PBE) data for a geometry-optimized NbNi2TeOs structure, as listed in Alexandria via LeMat-Bulk.

Calculated values
Space-group type = P4/mmm
D(E_F) = 5.77 states/eV per cell
Mass density = 8.58 g cm⁻³
Total energy = -0.2003 Ha/atom
Energy relative to the elements, uncorrected = 1.752 eV per atom

abc: 4.447 4.447 5.166
angles: 90.00 90.00 90.00
Fractional positions:
1 Nb 0.000 0.000 0.000
2 Ni 0.000 0.500 0.000
3 Ni 0.500 0.000 0.000
4 Te 0.000 0.000 0.500
5 Os 0.500 0.500 0.500



Record 6
First-principles (GGA-PBE) data for a geometry-optimized FeCoBr2 structure, as listed in Alexandria via LeMat-Bulk.

Calculated values
Polymorph energy (0 for the lowest one) = 0.543 eV/f.u.
Space-group type = Cmm2
D(E_F) = 1.73 states/eV per cell
Mass density = 5.26 g cm⁻³
Total energy = -0.1694 Ha/atom
Energy relative to the elements, uncorrected = 0.118 eV per atom

abc: 3.448 3.448 7.420
angles: 90.00 90.00 100.88
Fractional positions:
1 Fe 0.000 0.000 0.000
2 Co 0.500 0.500 0.127
3 Br 0.000 0.000 0.327
4 Br 0.500 0.500 0.800



Record 7
First-principles (GGA-PBE) data for a geometry-optimized BeZn3Ga structure, as listed in Alexandria via LeMat-Bulk.

Calculated values
Polymorph energy (0 for the lowest one) = 2.721 eV/f.u.
Space-group type = Pm-3m
D(E_F) = 2.20 states/eV per cell
Formation enthalpy at 0 K = 0.816 eV per atom
Mass density = 4.23 g cm⁻³
Total energy = -0.0477 Ha/atom

abc: 4.761 4.761 4.761
angles: 90.00 90.00 90.00
Fractional positions:
1 Be 0.000 0.000 0.000
2 Zn 0.000 0.500 0.500
3 Zn 0.500 0.000 0.500
4 Zn 0.500 0.500 0.000
5 Ga 0.500 0.500 0.500



Record 8
First-principles (GGA-PBE) data for a geometry-optimized Rb2Na2Li structure, as listed in Alexandria via LeMat-Bulk.

Calculated values
Polymorph energy (0 for the lowest one) = 0.521 eV/f.u.
Space-group type = P4/mbm
D(E_F) = 6.26 states/eV per cell
Formation enthalpy at 0 K = 0.209 eV per atom
Mass density = 1.32 g cm⁻³
Total energy = -0.0400 Ha/atom

abc: 11.555 11.555 4.223
angles: 90.00 90.00 90.00
Fractional positions:
1 Rb 0.186 0.314 0.000
2 Rb 0.314 0.814 0.000
3 Rb 0.686 0.186 0.000
4 Rb 0.814 0.686 0.000
5 Na 0.109 0.609 0.500
6 Na 0.391 0.109 0.500
7 Na 0.609 0.891 0.500
8 Na 0.891 0.391 0.500
9 Li 0.000 0.000 0.000
10 Li 0.500 0.500 0.000



Record 9
First-principles (GGA-PBE) data for a geometry-optimized ThSn3Pd2 structure, as listed in Alexandria via LeMat-Bulk.

Calculated values
Space-group type = Immm
D(E_F) = 6.72 states/eV per cell
Formation enthalpy at 0 K = -0.538 eV per atom
Mass density = 9.61 g cm⁻³
Total energy = -0.2024 Ha/atom

abc: 8.627 8.627 8.627
angles: 149.45 120.83 68.06
Fractional positions:
1 Th 0.130 0.130 0.000
2 Th 0.870 0.870 0.000
3 Sn 0.119 0.325 0.794
4 Sn 0.336 0.000 0.336
5 Sn 0.469 0.675 0.794
6 Sn 0.531 0.325 0.206
7 Sn 0.664 0.000 0.664
8 Sn 0.881 0.675 0.206
9 Pd 0.160 0.500 0.660
10 Pd 0.306 0.806 0.500
11 Pd 0.694 0.194 0.500
12 Pd 0.840 0.500 0.340



Record 10
First-principles (GGA-PBE) data for a geometry-optimized InNiP2 structure, as listed in Alexandria via LeMat-Bulk.

Calculated values
Space-group type = I-4m2
D(E_F) = 2.49 states/eV per cell
Formation enthalpy at 0 K = 0.468 eV per atom
Mass density = 6.09 g cm⁻³
Total energy = -0.1605 Ha/atom

abc: 4.845 4.845 4.845
angles: 130.52 130.52 72.58
Fractional positions:
1 In 0.000 0.000 0.000
2 Ni 0.250 0.750 0.500
3 P 0.500 0.500 0.000
4 P 0.750 0.250 0.500



Record 11
First-principles (GGA-PBE) data for a geometry-optimized RbTmZnBr6 structure, as listed in Alexandria via LeMat-Bulk.

Calculated values
Space-group type = P312
D(E_F) = 0.00 states/eV per cell
Mass density = 3.97 g cm⁻³
Total energy = -0.1232 Ha/atom
Energy relative to the elements, uncorrected = -1.492 eV per atom

abc: 7.061 7.061 7.745
angles: 90.00 90.00 120.00
Fractional positions:
1 Rb 0.000 0.000 0.000
2 Tm 0.333 0.667 0.500
3 Zn 0.667 0.333 0.500
4 Br 0.379 0.012 0.702
5 Br 0.379 0.368 0.298
6 Br 0.632 0.012 0.298
7 Br 0.632 0.621 0.702
8 Br 0.988 0.368 0.702
9 Br 0.988 0.621 0.298



Record 12
First-principles (GGA-PBE) data for a geometry-optimized AcErTmHg structure, as listed in Alexandria via LeMat-Bulk.

Calculated values
Space-group type = F-43m
D(E_F) = 6.74 states/eV per cell
Formation enthalpy at 0 K = 0.085 eV per atom
Mass density = 10.59 g cm⁻³
Total energy = -0.1204 Ha/atom

abc: 5.534 5.534 5.534
angles: 60.00 60.00 60.00
Fractional positions:
1 Ac 0.000 0.000 0.000
2 Er 0.750 0.750 0.750
3 Tm 0.250 0.250 0.250
4 Hg 0.500 0.500 0.500



D(E_F) of number 9 (ThSn3Pd2)? 6.72 states/eV per cell